one.
RePdPt | the Alexandria database | PBE | relaxed; space-group type = Cm (8)
1.0
13.535 0.000 0.000
0.000 2.799 0.000
-0.550 0.000 4.823
Re Pd Pt
4 4 4
Direct
0.000 0.000 0.000
0.000 0.500 0.493
0.500 0.000 0.493
0.500 0.500 0.000
0.161 0.000 0.381
0.337 0.500 0.278
0.661 0.500 0.381
0.837 0.000 0.278
0.159 0.500 0.876
0.339 0.000 0.780
0.659 0.000 0.876
0.839 0.500 0.780


two.
RePdPt | the Alexandria database | PBE | relaxed; space-group type = P-1 (2)
1.0
2.747 0.000 0.000
1.373 4.612 0.000
1.370 1.156 7.191
Re Pd Pt
2 2 2
Direct
0.166 0.250 0.417
0.834 0.750 0.583
0.168 0.754 0.911
0.832 0.246 0.089
0.500 0.261 0.739
0.500 0.739 0.261


three.
RePdPt | the Alexandria database | PBE | relaxed; space-group type = I4mm (107)
1.0
2.767 0.000 0.000
0.000 2.767 0.000
0.000 0.000 11.895
Re Pd Pt
2 2 2
Direct
0.000 0.000 0.000
0.500 0.500 0.500
0.000 0.000 0.660
0.500 0.500 0.160
0.000 0.000 0.342
0.500 0.500 0.842


four.
RePdPt | the Alexandria database | PBE | relaxed; space-group type = C2/m (12)
1.0
8.976 0.000 0.000
0.000 3.831 0.000
-1.903 0.000 5.316
Re Pd Pt
4 4 4
Direct
0.182 0.000 0.356
0.318 0.500 0.644
0.682 0.500 0.356
0.818 0.000 0.644
0.000 0.500 0.000
0.000 0.500 0.500
0.500 0.000 0.000
0.500 0.000 0.500
0.167 0.000 0.831
0.333 0.500 0.169
0.667 0.500 0.831
0.833 0.000 0.169


Preferred: two; penalty for the next structure: 14 meV/atom.


one.
RePdPt | the Alexandria database | PBE | relaxed; space-group type = P-1 (2)
1.0
4.767 0.000 0.000
-2.318 4.166 0.000
-0.787 -1.369 4.577
Re Pd Pt
2 2 2
Direct
0.217 0.225 0.226
0.783 0.775 0.774
0.428 0.096 0.747
0.572 0.904 0.253
0.099 0.420 0.743
0.901 0.580 0.257


two.
RePdPt | the Alexandria database | PBE | relaxed; space-group type = Cmcm (63)
1.0
4.006 0.000 0.000
0.000 11.681 0.000
0.000 0.000 3.921
Re Pd Pt
4 4 4
Direct
0.000 0.073 0.250
0.000 0.927 0.750
0.500 0.427 0.750
0.500 0.573 0.250
0.000 0.253 0.750
0.000 0.747 0.250
0.500 0.247 0.250
0.500 0.753 0.750
0.000 0.422 0.250
0.000 0.578 0.750
0.500 0.078 0.750
0.500 0.922 0.250


Preferred: one; penalty for the next structure: 13 meV/atom.


one.
RePdPt | the Alexandria database | PBE | relaxed; space-group type = R3m (160)
1.0
2.801 0.000 0.000
-1.401 2.426 0.000
0.000 0.000 20.192
Re Pd Pt
3 3 3
Direct
0.000 0.000 0.000
0.333 0.667 0.667
0.667 0.333 0.333
0.000 0.000 0.559
0.333 0.667 0.225
0.667 0.333 0.892
0.000 0.000 0.773
0.333 0.667 0.440
0.667 0.333 0.107


two.
RePdPt | the Alexandria database | PBE | relaxed; space-group type = Cm (8)
1.0
8.985 0.000 0.000
0.000 3.845 0.000
-1.867 0.000 5.307
Re Pd Pt
4 4 4
Direct
0.000 0.000 0.000
0.135 0.500 0.283
0.500 0.500 0.000
0.635 0.000 0.283
0.151 0.500 0.807
0.318 0.000 0.644
0.651 0.000 0.807
0.818 0.500 0.644
0.317 0.000 0.141
0.483 0.500 0.476
0.817 0.500 0.141
0.983 0.000 0.476


three.
RePdPt | the Alexandria database | PBE | relaxed; space-group type = P2_1/m (11)
1.0
2.734 0.000 0.000
0.000 3.986 0.000
-0.088 0.000 8.381
Re Pd Pt
2 2 2
Direct
0.214 0.250 0.079
0.786 0.750 0.921
0.247 0.250 0.413
0.753 0.750 0.587
0.257 0.250 0.757
0.743 0.750 0.243


Preferred: three; penalty for the next structure: 52 meV/atom.


one.
RePdPt2 | the Alexandria database | PBE | relaxed; space-group type = Fm-3m (225)
1.0
6.286 0.000 0.000
0.000 6.286 0.000
0.000 0.000 6.286
Re Pd Pt
4 4 8
Direct
0.000 0.000 0.000
0.000 0.500 0.500
0.500 0.000 0.500
0.500 0.500 0.000
0.000 0.000 0.500
0.000 0.500 0.000
0.500 0.000 0.000
0.500 0.500 0.500
0.250 0.250 0.250
0.250 0.250 0.750
0.250 0.750 0.250
0.250 0.750 0.750
0.750 0.250 0.250
0.750 0.250 0.750
0.750 0.750 0.250
0.750 0.750 0.750


two.
RePdPt2 | the Alexandria database | PBE | relaxed; space-group type = R-3m (166)
1.0
2.791 0.000 0.000
-1.395 2.417 0.000
0.000 0.000 27.242
Re Pd Pt
3 3 6
Direct
0.000 0.000 0.000
0.333 0.667 0.667
0.667 0.333 0.333
0.000 0.000 0.500
0.333 0.667 0.167
0.667 0.333 0.833
0.000 0.000 0.253
0.000 0.000 0.747
0.333 0.667 0.414
0.333 0.667 0.919
0.667 0.333 0.081
0.667 0.333 0.586


Preferred: two; penalty for the next structure: 290 meV/atom.


one.
RePd2Pt | the Alexandria database | PBE | relaxed; space-group type = I-42d (122)
1.0
7.110 0.000 0.000
0.000 7.110 0.000
0.000 0.000 5.326
Re Pd Pt
4 8 4
Direct
0.000 0.000 0.000
0.000 0.500 0.250
0.500 0.000 0.750
0.500 0.500 0.500
0.231 0.750 0.125
0.250 0.231 0.875
0.250 0.269 0.375
0.269 0.750 0.625
0.731 0.250 0.625
0.750 0.731 0.375
0.750 0.769 0.875
0.769 0.250 0.125
0.000 0.000 0.500
0.000 0.500 0.750
0.500 0.000 0.250
0.500 0.500 0.000


two.
RePd2Pt | the Alexandria database | PBE | relaxed; space-group type = Fm-3m (225)
1.0
6.254 0.000 0.000
0.000 6.254 0.000
0.000 0.000 6.254
Re Pd Pt
4 8 4
Direct
0.000 0.000 0.000
0.000 0.500 0.500
0.500 0.000 0.500
0.500 0.500 0.000
0.250 0.250 0.250
0.250 0.250 0.750
0.250 0.750 0.250
0.250 0.750 0.750
0.750 0.250 0.250
0.750 0.250 0.750
0.750 0.750 0.250
0.750 0.750 0.750
0.000 0.000 0.500
0.000 0.500 0.000
0.500 0.000 0.000
0.500 0.500 0.500


three.
RePd2Pt | the Alexandria database | PBE | relaxed; space-group type = R-3m (166)
1.0
2.767 0.000 0.000
-1.383 2.396 0.000
0.000 0.000 27.529
Re Pd Pt
3 6 3
Direct
0.000 0.000 0.000
0.333 0.667 0.667
0.667 0.333 0.333
0.000 0.000 0.253
0.000 0.000 0.747
0.333 0.667 0.414
0.333 0.667 0.920
0.667 0.333 0.080
0.667 0.333 0.586
0.000 0.000 0.500
0.333 0.667 0.167
0.667 0.333 0.833


Preferred: three; penalty for the next structure: 330 meV/atom.


one.
Pd3Pt8Rh | the Alexandria database | PBE | relaxed; space-group type = I-42m (121)
1.0
-1.896 1.896 14.331
1.896 -1.896 14.331
1.896 1.896 -14.331
Pd Pt Rh
3 8 1
Direct
0.000 0.000 0.000
0.250 0.750 0.500
0.750 0.250 0.500
0.082 0.082 0.502
0.172 0.172 0.502
0.330 0.828 0.000
0.420 0.918 0.000
0.580 0.580 0.498
0.670 0.670 0.498
0.828 0.330 0.000
0.918 0.420 0.000
0.500 0.500 0.000


two.
Pd3Pt8Rh | the Alexandria database | PBE | relaxed; space-group type = P1 (1)
1.0
4.792 0.000 0.000
-0.013 5.586 0.000
-1.580 -2.794 6.937
Pd Pt Rh
3 8 1
Direct
0.000 0.000 0.000
0.028 0.584 0.663
0.263 0.917 0.331
0.000 0.499 0.003
0.026 0.082 0.659
0.264 0.421 0.334
0.500 0.251 0.001
0.504 0.748 0.002
0.528 0.334 0.664
0.529 0.836 0.665
0.761 0.168 0.331
0.762 0.666 0.332


Preferred: two; penalty for the next structure: 316 meV/atom.